1.
Here is crystalline Ac6Sn3Sb at its relaxed geometry from Alexandria. Energies are from PBE-GGA.

Output
ΔE_f (raw) = -57.7 kJ/mol of atoms
Space-group type = P2_1/c, No. 14
Magnetic moment = 2.2 μB per cell

Cell lengths 6.798, 9.309, 12.720 Å; angles 90.00, 90.16, 90.00 degrees
Positions (direct):
Ac  0.113  0.326  0.415
Sn  0.409  0.127  0.250
Ac  0.887  0.672  0.916
Ac  0.887  0.674  0.585
Ac  0.373  0.529  0.751
Ac  0.613  0.172  0.584
Ac  0.387  0.826  0.085
Ac  0.127  0.029  0.749
Sn  0.000  0.000  0.500
Sn  0.591  0.873  0.750
Ac  0.627  0.471  0.249
Ac  0.113  0.328  0.084
Ac  0.613  0.174  0.915
Ac  0.873  0.971  0.251
Sn  0.091  0.627  0.250
Sn  0.909  0.373  0.750
Sb  0.500  0.500  0.500
Ac  0.387  0.828  0.416
Sb  0.000  0.000  0.000
Sn  0.500  0.500  0.000

---

2.
Here is crystalline TiTc2Sb2 at its relaxed geometry from Alexandria. Energies are from PBE-GGA.

Output
ΔE_f (raw) = 10.7 kJ/mol of atoms
Space-group type = P4/mbm, No. 127
Magnetic moment = 0.0 μB per cell

Cell lengths 7.452, 7.452, 3.289 Å; angles 90.00, 90.00, 90.00 degrees
Positions (direct):
Sb  0.664  0.836  0.500
Sb  0.836  0.336  0.500
Sb  0.336  0.164  0.500
Tc  0.636  0.136  0.000
Tc  0.136  0.364  0.000
Ti  0.500  0.500  0.000
Sb  0.164  0.664  0.500
Ti  0.000  0.000  0.000
Tc  0.364  0.864  0.000
Tc  0.864  0.636  0.000

---

3.
Here is crystalline LiGdHoMo at its relaxed geometry from Alexandria. Energies are from PBE-GGA.

Output
Formation energy = 261 meV/atom
Space-group type = F-43m, No. 216
Magnetic moment = 6.6 μB per cell

Cell lengths 5.000, 5.000, 5.000 Å; angles 60.00, 60.00, 60.00 degrees
Positions (direct):
Gd  0.000  0.000  0.000
Li  0.750  0.750  0.750
Mo  0.250  0.250  0.250
Ho  0.500  0.500  0.500

---

4.
Here is crystalline MnRe3H at its relaxed geometry from Alexandria. Energies are from PBE-GGA.

Output
ΔE to the lowest computed polymorph = 0.0000 eV per atom
Space-group type = Pm-3m, No. 221
Magnetic moment = 1.5 μB per cell

Cell lengths 3.900, 3.900, 3.900 Å; angles 90.00, 90.00, 90.00 degrees
Positions (direct):
Mn  0.500  0.500  0.500
Re  0.500  0.000  0.000
Re  0.000  0.000  0.500
H  0.000  0.000  0.000
Re  0.000  0.500  0.000

---

| no. | N(E_F) (states/eV per cell) | volume (Å³ per atom) |
| --- | --- | --- |
| 1 | 14.377 | 40.243 |
| 2 | 15.744 | 18.264 |
| 3 | 5.461 | 22.102 |
| 4 | 3.975 | 11.868 |